Density functional theory data (GGA-PBE) for a relaxed CsTbP4O12 crystal.

Geometry as CIF:
```
data_CsTbP4O12
_chemical_formula_sum 'Cs2 Tb2 P8 O24'
_symmetry_space_group_name_H-M 'P 1 21 1'
_symmetry_Int_Tables_number 4
_cell_length_a 7.1089
_cell_length_b 9.1698
_cell_length_c 8.8101
_cell_angle_alpha 90.00
_cell_angle_beta 99.99
_cell_angle_gamma 90.00
loop_
_symmetry_equiv_pos_as_xyz
'x,y,z'
'-x,y+1/2,-z'
loop_
_atom_site_label
_atom_site_fract_x
_atom_site_fract_y
_atom_site_fract_z
_atom_site_occupancy
Cs1 0.1688 0.0000 0.1740 1
Tb1 0.3017 0.8357 0.6976 1
P1 0.1415 0.4674 0.5395 1
P2 0.1870 0.4093 0.2230 1
P3 0.4169 0.6098 0.0685 1
P4 0.4414 0.2255 0.6214 1
O1 0.0183 0.8625 0.8184 1
O2 0.0488 0.8936 0.4971 1
O3 0.1599 0.6044 0.6329 1
O4 0.2177 0.5350 0.1006 1
O5 0.2198 0.5019 0.3820 1
O6 0.2874 0.3516 0.6340 1
O7 0.3442 0.2987 0.2330 1
O8 0.3496 0.0789 0.5928 1
O9 0.3673 0.6840 0.9172 1
O10 0.4218 0.0018 0.9045 1
O11 0.4223 0.7801 0.4772 1
O12 0.4479 0.7350 0.2002 1
```

- Fermi-level density of states (states/eV per cell) = 0.000
- energy relative to the elements, uncorrected (meV/atom) = -2462.1


Density functional theory data (GGA-PBE) for a relaxed Cs3TbP2O8 crystal.

Geometry as CIF:
```
data_Cs3TbP2O8
_chemical_formula_sum 'Cs3 Tb1 P2 O8'
_symmetry_space_group_name_H-M 'P -3 m 1'
_symmetry_Int_Tables_number 164
_symmetry_space_group_name_Hall '-P 3 2"'
_cell_length_a 5.8338
_cell_length_b 5.8338
_cell_length_c 8.7199
_cell_angle_alpha 90.00
_cell_angle_beta 90.00
_cell_angle_gamma 120.00
loop_
_atom_site_label
_atom_site_fract_x
_atom_site_fract_y
_atom_site_fract_z
_atom_site_occupancy
Cs1 0.0000 0.0000 0.0000 1
Cs2 0.3333 0.6667 0.7718 1
Tb1 0.0000 0.0000 0.5000 1
P1 0.3333 0.6667 0.2921 1
O1 0.1872 0.3744 0.3524 1
O2 0.3333 0.6667 0.1154 1
```

- Fermi-level density of states (states/eV per cell) = 0.000
- energy relative to the elements, uncorrected (meV/atom) = -2553.0


Density functional theory data (GGA-PBE) for a relaxed CsTbP2O6 crystal.

Geometry as CIF:
```
data_CsTbP2O6
_chemical_formula_sum 'Cs4 Tb4 P8 O24'
_symmetry_space_group_name_H-M 'C 1 2/c 1'
_symmetry_Int_Tables_number 15
_cell_length_a 9.0322
_cell_length_b 10.9595
_cell_length_c 8.5355
_cell_angle_alpha 90.00
_cell_angle_beta 108.42
_cell_angle_gamma 90.00
loop_
_symmetry_equiv_pos_as_xyz
'x,y,z'
'-x,-y,-z'
'-x,y,-z+1/2'
'x,-y,z+1/2'
'x+1/2,y+1/2,z'
'-x+1/2,-y+1/2,-z'
'-x+1/2,y+1/2,-z+1/2'
'x+1/2,-y+1/2,z+1/2'
loop_
_atom_site_label
_atom_site_fract_x
_atom_site_fract_y
_atom_site_fract_z
_atom_site_occupancy
Cs1 0.0000 0.1601 0.2500 1
Tb1 0.0000 0.3493 0.7500 1
P1 0.2388 0.4029 0.1650 1
O1 0.0984 0.3474 0.0283 1
O2 0.1668 0.1977 0.7173 1
O3 0.1887 0.4913 0.7573 1
```

- energy relative to the elements, uncorrected (meV/atom) = -2325.5


Density functional theory data (GGA-PBE) for a relaxed CsTcPO2 crystal.

Geometry as CIF:
```
data_CsTcPO2
_chemical_formula_sum 'Cs1 Tc1 P1 O2'
_symmetry_space_group_name_H-M 'P 4/m m m'
_symmetry_Int_Tables_number 123
_symmetry_space_group_name_Hall '-P 4 2'
_cell_length_a 4.1225
_cell_length_b 4.1225
_cell_length_c 6.9605
_cell_angle_alpha 90.00
_cell_angle_beta 90.00
_cell_angle_gamma 90.00
loop_
_atom_site_label
_atom_site_fract_x
_atom_site_fract_y
_atom_site_fract_z
_atom_site_occupancy
Cs1 0.0000 0.0000 0.0000 1
Tc1 0.5000 0.5000 0.5000 1
P1 0.0000 0.0000 0.5000 1
O1 0.0000 0.5000 0.0000 1
```

- Fermi-level density of states (states/eV per cell) = 1.469
- energy relative to the elements, uncorrected (meV/atom) = 1351.8


Density functional theory data (GGA-PBE) for a relaxed CsTcP2O8 crystal.

Geometry as CIF:
```
data_CsTcP2O8
_chemical_formula_sum 'Cs3 Tc3 P6 O24'
_symmetry_space_group_name_H-M 'R -3'
_symmetry_Int_Tables_number 148
_symmetry_space_group_name_Hall '-R 3'
_cell_length_a 4.9854
_cell_length_b 4.9854
_cell_length_c 27.6875
_cell_angle_alpha 90.00
_cell_angle_beta 90.00
_cell_angle_gamma 120.00
loop_
_atom_site_label
_atom_site_fract_x
_atom_site_fract_y
_atom_site_fract_z
_atom_site_occupancy
Cs1 0.0000 0.0000 0.0000 1
Tc1 0.0000 0.0000 0.5000 1
P1 0.0000 0.0000 0.2284 1
O1 0.0000 0.0000 0.2825 1
O2 0.0174 0.4040 0.8744 1
```

- Fermi-level density of states (states/eV per cell) = 9.512
- energy relative to the elements, uncorrected (meV/atom) = -1954.1


Density functional theory data (GGA-PBE) for a relaxed CsTeP2O crystal.

Geometry as CIF:
```
data_CsTeP2O
_chemical_formula_sum 'Cs1 Te1 P2 O1'
_symmetry_space_group_name_H-M 'P 4/m m m'
_symmetry_Int_Tables_number 123
_symmetry_space_group_name_Hall '-P 4 2'
_cell_length_a 5.5050
_cell_length_b 5.5050
_cell_length_c 4.2798
_cell_angle_alpha 90.00
_cell_angle_beta 90.00
_cell_angle_gamma 90.00
loop_
_atom_site_label
_atom_site_fract_x
_atom_site_fract_y
_atom_site_fract_z
_atom_site_occupancy
Cs1 0.0000 0.0000 0.0000 1
Te1 0.5000 0.5000 0.5000 1
P1 0.0000 0.5000 0.0000 1
O1 0.0000 0.0000 0.5000 1
```

- Fermi-level density of states (states/eV per cell) = 4.205
- energy relative to the elements, uncorrected (meV/atom) = 1424.1


Question: Which value of energy relative to the elements, uncorrected does entry 1 give?
Answer: -2462.1 meV/atom


Question: Look up the energy relative to the elements, uncorrected of the third one.
Answer: -2325.5 meV/atom


Question: The lowest energy relative to the elements, uncorrected belongs to which entry?
Answer: Cs3TbP2O8


Question: Number 2 is which compound?
Answer: Cs3TbP2O8